# 1
Entry from Alexandria: an optimized crystal structure of Er7AuI12 (PBE).

Computed properties:
V: 37.1 A^3/atom
Total energy: -231.3 eV/cell
Size of the total moment: 0.0 μB per cell

CIF file:
```
data_Er7AuI12
_cell_length_a 15.6447
_cell_length_b 15.6447
_cell_length_c 10.4934
_cell_angle_alpha 90.00
_cell_angle_beta 90.00
_cell_angle_gamma 120.00
_space_group_name_H-M_alt 'R -3'
_space_group_IT_number 148
_space_group_name_Hall '-R 3'
loop_
_atom_site_label
_atom_site_type_symbol
_atom_site_fract_x
_atom_site_fract_y
_atom_site_fract_z
Er1 Er 0.0000 0.0000 0.0000
Er2 Er 0.0451 0.1600 0.3460
Au1 Au 0.0000 0.0000 0.5000
I1 I 0.0210 0.5847 0.1601
I2 I 0.0523 0.1841 0.8420
```

# 2
Entry from Alexandria: an optimized crystal structure of RbErAu2I6 (PBE).

Computed properties:
V: 46.8 A^3/atom
Total energy: -29.5 eV/cell
Size of the total moment: 0.0 μB per cell

CIF file:
```
data_RbErAu2I6
_cell_length_a 7.889
_cell_length_b 7.907
_cell_length_c 9.742
_cell_angle_alpha 90.02
_cell_angle_beta 113.70
_cell_angle_gamma 119.72
_space_group_name_H-M_alt 'P -1'
_space_group_IT_number 2
loop_
_space_group_symop_operation_xyz
'x,y,z'
'-x,-y,-z'
loop_
_atom_site_label
_atom_site_type_symbol
_atom_site_fract_x
_atom_site_fract_y
_atom_site_fract_z
Rb1 Rb 0.000 0.000 0.000
Er1 Er 0.000 0.500 0.500
Au1 Au 0.464 0.229 0.695
I1 I 0.141 0.262 0.707
I2 I 0.173 0.436 0.291
I3 I 0.443 0.876 0.710
```

# 3
Entry from Alexandria: an optimized crystal structure of Er4In3Au (PBE).

Computed properties:
V: 25.2 A^3/atom
Energy of formation from the pure elements: -0.56 eV per atom
Size of the total moment: 0.0 μB per cell

CIF file:
```
data_Er4In3Au
_cell_length_a 3.526
_cell_length_b 3.526
_cell_length_c 16.223
_cell_angle_alpha 90.00
_cell_angle_beta 90.00
_cell_angle_gamma 90.00
_space_group_name_H-M_alt 'P 4/m m m'
_space_group_IT_number 123
_space_group_name_Hall '-P 4 2'
loop_
_atom_site_label
_atom_site_type_symbol
_atom_site_fract_x
_atom_site_fract_y
_atom_site_fract_z
Er1 Er 0.000 0.000 0.110
Er2 Er 0.000 0.000 0.370
In1 In 0.500 0.500 0.240
In2 In 0.500 0.500 0.500
Au1 Au 0.500 0.500 0.000
```

# 4
Entry from Alexandria: an optimized crystal structure of Er6InAu5 (PBE).

Computed properties:
V: 23.3 A^3/atom
Energy of formation from the pure elements: -0.80 eV per atom
Size of the total moment: 0.0 μB per cell

CIF file:
```
data_Er6InAu5
_cell_length_a 8.824
_cell_length_b 15.245
_cell_length_c 5.070
_cell_angle_alpha 90.00
_cell_angle_beta 125.01
_cell_angle_gamma 90.00
_space_group_name_H-M_alt 'C 1 2/m 1'
_space_group_IT_number 12
loop_
_space_group_symop_operation_xyz
'x,y,z'
'-x,-y,-z'
'-x,y,-z'
'x,-y,z'
'x+1/2,y+1/2,z'
'-x+1/2,-y+1/2,-z'
'-x+1/2,y+1/2,-z'
'x+1/2,-y+1/2,z'
loop_
_atom_site_label
_atom_site_type_symbol
_atom_site_fract_x
_atom_site_fract_y
_atom_site_fract_z
Er1 Er 0.237 0.000 0.237
Er2 Er 0.244 0.171 0.744
In1 In 0.000 0.500 0.000
Au1 Au 0.000 0.000 0.500
Au2 Au 0.000 0.167 0.000
Au3 Au 0.000 0.344 0.500
```

# 5
Entry from Alexandria: an optimized crystal structure of ErIn2Au (PBE).

Computed properties:
V: 23.0 A^3/atom
Energy of formation from the pure elements: -0.31 eV per atom
Size of the total moment: 0.3 μB per cell

CIF file:
```
data_ErIn2Au
_cell_length_a 3.444
_cell_length_b 3.444
_cell_length_c 7.752
_cell_angle_alpha 90.00
_cell_angle_beta 90.00
_cell_angle_gamma 90.00
_space_group_name_H-M_alt 'P 4/m m m'
_space_group_IT_number 123
_space_group_name_Hall '-P 4 2'
loop_
_atom_site_label
_atom_site_type_symbol
_atom_site_fract_x
_atom_site_fract_y
_atom_site_fract_z
Er1 Er 0.000 0.000 0.000
In1 In 0.500 0.500 0.279
Au1 Au 0.000 0.000 0.500
```

# 6
Entry from Alexandria: an optimized crystal structure of ErIn2Au7 (PBE).

Computed properties:
V: 24.6 A^3/atom
Energy of formation from the pure elements: -0.20 eV per atom
Size of the total moment: 0.0 μB per cell

CIF file:
```
data_ErIn2Au7
_cell_length_a 7.561
_cell_length_b 15.633
_cell_length_c 4.161
_cell_angle_alpha 90.00
_cell_angle_beta 90.00
_cell_angle_gamma 90.00
_space_group_name_H-M_alt 'C m m m'
_space_group_IT_number 65
_space_group_name_Hall '-C 2 2'
loop_
_atom_site_label
_atom_site_type_symbol
_atom_site_fract_x
_atom_site_fract_y
_atom_site_fract_z
Er1 Er 0.000 0.000 0.000
In1 In 0.000 0.308 0.500
Au1 Au 0.000 0.194 0.000
Au2 Au 0.000 0.500 0.500
Au3 Au 0.190 0.097 0.500
```

# 7
Entry from Alexandria: an optimized crystal structure of Er4InAu (PBE).

Computed properties:
V: 30.9 A^3/atom
Energy of formation from the pure elements: -0.22 eV per atom
Size of the total moment: 0.0 μB per cell

CIF file:
```
data_Er4InAu
_cell_length_a 7.385
_cell_length_b 7.319
_cell_length_c 6.866
_cell_angle_alpha 90.00
_cell_angle_beta 93.53
_cell_angle_gamma 90.00
_space_group_name_H-M_alt 'P 1 21/c 1'
_space_group_IT_number 14
loop_
_space_group_symop_operation_xyz
'x,y,z'
'-x,-y,-z'
'-x,y+1/2,-z+1/2'
'x,-y+1/2,z+1/2'
loop_
_atom_site_label
_atom_site_type_symbol
_atom_site_fract_x
_atom_site_fract_y
_atom_site_fract_z
Er1 Er 0.158 0.167 0.176
Er2 Er 0.334 0.647 0.114
In1 In 0.500 0.000 0.000
Au1 Au 0.000 0.000 0.500
```

# 8
Entry from Alexandria: an optimized crystal structure of ErIn2Au8 (PBE).

Computed properties:
V: 21.1 A^3/atom
Energy of formation from the pure elements: -0.25 eV per atom
Size of the total moment: 0.0 μB per cell

CIF file:
```
data_ErIn2Au8
_cell_length_a 8.685
_cell_length_b 11.624
_cell_length_c 4.898
_cell_angle_alpha 90.00
_cell_angle_beta 109.93
_cell_angle_gamma 90.00
_space_group_name_H-M_alt 'C 1 2/m 1'
_space_group_IT_number 12
loop_
_space_group_symop_operation_xyz
'x,y,z'
'-x,-y,-z'
'-x,y,-z'
'x,-y,z'
'x+1/2,y+1/2,z'
'-x+1/2,-y+1/2,-z'
'-x+1/2,y+1/2,-z'
'x+1/2,-y+1/2,z'
loop_
_atom_site_label
_atom_site_type_symbol
_atom_site_fract_x
_atom_site_fract_y
_atom_site_fract_z
Er1 Er 0.000 0.000 0.000
In1 In 0.000 0.363 0.500
Au1 Au 0.000 0.250 0.000
Au2 Au 0.163 0.500 0.980
Au3 Au 0.172 0.136 0.548
```

# 9
Entry from Alexandria: an optimized crystal structure of Er2In8Au (PBE).

Computed properties:
V: 24.8 A^3/atom
Energy of formation from the pure elements: -0.30 eV per atom
Size of the total moment: 0.0 μB per cell

CIF file:
```
data_Er2In8Au
_cell_length_a 4.732
_cell_length_b 4.732
_cell_length_c 12.189
_cell_angle_alpha 90.00
_cell_angle_beta 90.00
_cell_angle_gamma 90.00
_space_group_name_H-M_alt 'P 4/m m m'
_space_group_IT_number 123
_space_group_name_Hall '-P 4 2'
loop_
_atom_site_label
_atom_site_type_symbol
_atom_site_fract_x
_atom_site_fract_y
_atom_site_fract_z
Er1 Er 0.000 0.000 0.187
In1 In 0.000 0.500 0.000
In2 In 0.000 0.500 0.366
In3 In 0.500 0.500 0.187
Au1 Au 0.000 0.000 0.500
```

# 10
Entry from Alexandria: an optimized crystal structure of Er4In2Au (PBE).

Computed properties:
V: 32.1 A^3/atom
Energy of formation from the pure elements: -0.12 eV per atom
Size of the total moment: 0.0 μB per cell

CIF file:
```
data_Er4In2Au
_cell_length_a 7.860
_cell_length_b 3.562
_cell_length_c 8.916
_cell_angle_alpha 90.00
_cell_angle_beta 115.80
_cell_angle_gamma 90.00
_space_group_name_H-M_alt 'P 1 2/m 1'
_space_group_IT_number 10
loop_
_space_group_symop_operation_xyz
'x,y,z'
'-x,-y,-z'
'-x,y,-z'
'x,-y,z'
loop_
_atom_site_label
_atom_site_type_symbol
_atom_site_fract_x
_atom_site_fract_y
_atom_site_fract_z
Er1 Er 0.239 0.000 0.035
Er2 Er 0.244 0.500 0.654
In1 In 0.113 0.000 0.325
Au1 Au 0.500 0.500 0.000
```